No. 1
Density functional theory data (PBE) for a relaxed LuHgPb2 crystal.

a = 3.5287 Å, b = 3.5287 Å, c = 11.3745 Å
α = 81.08°, β = 81.08°, γ = 60.00°
Fractional positions:
Hg 0.5000 0.5000 0.5000
Pb 0.9081 0.9081 0.2756
Pb 0.0919 0.0919 0.7244
Lu 0.0000 0.0000 0.0000

distance to the lowest polymorph of the same formula = 349 meV/atom
ΔH_f (0 K) = 0.128 eV/atom
symmetry = R-3m, No. 166
theoretical density = 10.87 Mg/m³



No. 2
Density functional theory data (PBE) for a relaxed K2Mn4Sn crystal.

a = 5.2081 Å, b = 5.2081 Å, c = 9.7421 Å
α = 74.50°, β = 74.50°, γ = 90.00°
Fractional positions:
Mn 0.8520 0.8520 0.2960
Mn 0.5000 0.0000 0.0000
Mn 0.1480 0.1480 0.7040
Mn 0.0000 0.5000 0.0000
Sn 0.0000 0.0000 0.0000
K 0.6501 0.6501 0.6998
K 0.3499 0.3499 0.3002

ΔH_f (0 K) = 1.115 eV/atom
symmetry = I4/mmm, No. 139
theoretical density = 2.83 Mg/m³



No. 3
Density functional theory data (PBE) for a relaxed Pu2HIr crystal.

a = 3.1131 Å, b = 3.1131 Å, c = 7.1345 Å
α = 90.00°, β = 90.00°, γ = 90.00°
Fractional positions:
H 0.5000 0.5000 0.5000
Pu 0.0000 0.0000 0.7255
Pu 0.0000 0.0000 0.2745
Ir 0.5000 0.5000 0.0000

distance to the lowest polymorph of the same formula = 13 meV/atom
symmetry = P4/mmm, No. 123
theoretical density = 16.36 Mg/m³